1.
# NiHPd, relaxed, DFT PBE-GGA
# electronic total energy: -4.778 eV/atom
# mass density: 9.6 g/cm3
data_NiHPd
_chemical_formula_sum 'Ni1 H1 Pd1'
_space_group_name_H-M_alt 'P 1'
_space_group_IT_number 1
_cell_length_a 2.729
_cell_length_b 2.729
_cell_length_c 4.476
_cell_angle_alpha 90.00
_cell_angle_beta 90.00
_cell_angle_gamma 120.00
loop_
_space_group_symop_operation_xyz
'x,y,z'
loop_
_atom_site_label
_atom_site_fract_x
_atom_site_fract_y
_atom_site_fract_z
Ni1 0.667 0.333 0.447
Pd1 0.000 0.000 0.961
H1 0.333 0.667 0.591

***

2.
# Ac2ZnAu2O6, relaxed, DFT PBE-GGA
# E_form (uncorrected): -1.3718 eV per atom
# mass density: 9.3 g/cm3
data_Ac2ZnAu2O6
_chemical_formula_sum 'Ac2 Zn1 Au2 O6'
_space_group_name_H-M_alt 'P 1'
_space_group_IT_number 1
_cell_length_a 6.198
_cell_length_b 6.198
_cell_length_c 6.477
_cell_angle_alpha 61.42
_cell_angle_beta 61.42
_cell_angle_gamma 60.00
loop_
_space_group_symop_operation_xyz
'x,y,z'
loop_
_atom_site_label
_atom_site_fract_x
_atom_site_fract_y
_atom_site_fract_z
Ac1 0.788 0.788 0.637
Ac2 0.212 0.212 0.363
Zn1 0.000 0.000 0.000
Au1 0.411 0.411 0.767
Au2 0.589 0.589 0.233
O1 0.769 0.769 0.275
O2 0.187 0.769 0.275
O3 0.769 0.187 0.275
O4 0.231 0.813 0.725
O5 0.813 0.231 0.725
O6 0.231 0.231 0.725

***

3.
# Tb2CeSn, relaxed, DFT PBE-GGA
# formation enthalpy at 0 K: -0.40 eV per atom
# mass density: 8.6 g/cm3
data_Tb2CeSn
_chemical_formula_sum 'Tb2 Ce1 Sn1'
_space_group_name_H-M_alt 'P 1'
_space_group_IT_number 1
_cell_length_a 4.648
_cell_length_b 4.888
_cell_length_c 4.888
_cell_angle_alpha 90.00
_cell_angle_beta 90.00
_cell_angle_gamma 90.00
loop_
_space_group_symop_operation_xyz
'x,y,z'
loop_
_atom_site_label
_atom_site_fract_x
_atom_site_fract_y
_atom_site_fract_z
Tb1 0.000 0.000 0.500
Tb2 0.000 0.500 0.000
Sn1 0.500 0.000 0.000
Ce1 0.500 0.500 0.500

***

4.
# BeZnAg, relaxed, DFT PBE-GGA
# formation enthalpy at 0 K: 0.09 eV per atom
# mass density: 7.4 g/cm3
data_BeZnAg
_chemical_formula_sum 'Be4 Zn4 Ag4'
_space_group_name_H-M_alt 'P 1'
_space_group_IT_number 1
_cell_length_a 6.578
_cell_length_b 5.150
_cell_length_c 8.195
_cell_angle_alpha 90.00
_cell_angle_beta 143.77
_cell_angle_gamma 90.00
loop_
_space_group_symop_operation_xyz
'x,y,z'
loop_
_atom_site_label
_atom_site_fract_x
_atom_site_fract_y
_atom_site_fract_z
Be1 0.721 0.000 0.460
Be2 0.221 0.000 0.960
Be3 0.721 0.500 0.960
Be4 0.221 0.500 0.460
Zn1 0.792 0.852 0.212
Zn2 0.292 0.148 0.712
Zn3 0.792 0.352 0.712
Zn4 0.292 0.648 0.212
Ag1 0.649 0.350 0.210
Ag2 0.149 0.650 0.710
Ag3 0.649 0.850 0.710
Ag4 0.149 0.150 0.210

***

5.
# SrMg3O, relaxed, DFT PBE-GGA
# E_form (uncorrected): 1.3072 eV per atom
# mass density: 1.0 g/cm3
data_SrMg3O
_chemical_formula_sum 'Sr1 Mg3 O1'
_space_group_name_H-M_alt 'P 1'
_space_group_IT_number 1
_cell_length_a 6.707
_cell_length_b 6.707
_cell_length_c 6.707
_cell_angle_alpha 90.00
_cell_angle_beta 90.00
_cell_angle_gamma 90.00
loop_
_space_group_symop_operation_xyz
'x,y,z'
loop_
_atom_site_label
_atom_site_fract_x
_atom_site_fract_y
_atom_site_fract_z
Sr1 0.000 0.000 0.000
Mg1 0.000 0.500 0.000
Mg2 0.000 0.000 0.500
Mg3 0.500 0.000 0.000
O1 0.500 0.500 0.500

***

6.
# CrSiRu, relaxed, DFT PBE-GGA
# E_form (uncorrected): -0.1970 eV per atom
# mass density: 7.7 g/cm3
data_CrSiRu
_chemical_formula_sum 'Cr1 Si1 Ru1'
_space_group_name_H-M_alt 'P 1'
_space_group_IT_number 1
_cell_length_a 4.076
_cell_length_b 4.076
_cell_length_c 2.718
_cell_angle_alpha 90.00
_cell_angle_beta 90.00
_cell_angle_gamma 120.00
loop_
_space_group_symop_operation_xyz
'x,y,z'
loop_
_atom_site_label
_atom_site_fract_x
_atom_site_fract_y
_atom_site_fract_z
Cr1 0.000 0.000 0.000
Ru1 0.667 0.333 0.502
Si1 0.333 0.667 0.498

***

Here are the calculated volume numbers, same order: 29, 180, 111, 41, 302, 39 (Å³/f.u.).